No. 1
VASP calculation (PBE) on a geometry-optimized MnTe2Cl structure.

Cell lengths 3.607, 6.027, 5.956 Å; angles 78.86, 90.00, 90.00 degrees
Site moments in Bohr magnetons follow the coordinates.
Fractional positions:
Te: 0.000 0.899 0.004  0.00
Mn: 0.500 0.848 0.641  4.16
Te: 0.500 0.167 0.240  0.01
Cl: 0.000 0.586 0.615  0.09

Output
- relative energy among the computed polymorphs (meV per atom) = 121.7
- symmetry = Pm, No. 6
- energy relative to the elements, uncorrected (eV per atom) = -0.211



No. 2
VASP calculation (PBE) on a geometry-optimized Th2MnCl structure.

Cell lengths 3.992, 3.992, 7.986 Å; angles 75.52, 75.52, 60.00 degrees
Fractional positions:
Th: 0.271 0.271 0.187
Cl: 0.500 0.500 0.500
Mn: 0.000 0.000 0.000
Th: 0.729 0.729 0.813

Output
- symmetry = R-3m, No. 166
- energy relative to the elements, uncorrected (eV per atom) = -0.518